[1]
An optimized crystal structure of KTcIr2. Source: the Alexandria database, functional PBE.

* formation energy from the elements: 1129 meV per atom
* V: 17.3 Å³/atom
* offset from the most stable computed form: 299 kJ/mol of formula units

CIF file:
```
data_KTcIr2
_cell_length_a 5.0619
_cell_length_b 5.0619
_cell_length_c 2.6963
_cell_angle_alpha 90.00
_cell_angle_beta 90.00
_cell_angle_gamma 90.00
_space_group_name_H-M_alt 'P 4/m m m'
_space_group_IT_number 123
_space_group_name_Hall '-P 4 2'
loop_
_atom_site_label
_atom_site_type_symbol
_atom_site_fract_x
_atom_site_fract_y
_atom_site_fract_z
K1 K 0.0000 0.0000 0.0000
Tc1 Tc 0.5000 0.5000 0.0000
Ir1 Ir 0.0000 0.5000 0.5000
```



[2]
An optimized crystal structure of CsErAg2Br6. Source: the Alexandria database, functional PBE.

* raw formation energy: -1.174 eV/atom
* V: 42.0 Å³/atom

CIF file:
```
data_CsErAg2Br6
_cell_length_a 14.8858
_cell_length_b 13.8348
_cell_length_c 9.0639
_cell_angle_alpha 90.00
_cell_angle_beta 115.88
_cell_angle_gamma 90.00
_space_group_name_H-M_alt 'C 1 2/c 1'
_space_group_IT_number 15
loop_
_space_group_symop_operation_xyz
'x,y,z'
'-x,-y,-z'
'-x,y,-z+1/2'
'x,-y,z+1/2'
'x+1/2,y+1/2,z'
'-x+1/2,-y+1/2,-z'
'-x+1/2,y+1/2,-z+1/2'
'x+1/2,-y+1/2,z+1/2'
loop_
_atom_site_label
_atom_site_type_symbol
_atom_site_fract_x
_atom_site_fract_y
_atom_site_fract_z
Cs1 Cs 0.0000 0.1683 0.2500
Er1 Er 0.0000 0.1820 0.7500
Ag1 Ag 0.0843 0.4628 0.1463
Br1 Br 0.1161 0.0700 0.6743
Br2 Br 0.1187 0.2805 0.0136
Br3 Br 0.1288 0.4168 0.4581
```



[3]
An optimized crystal structure of Cs8K3Au3O. Source: the Alexandria database, functional PBE.

* raw formation energy: -0.312 eV/atom
* V: 72.6 Å³/atom

CIF file:
```
data_Cs8K3Au3O
_cell_length_a 17.4989
_cell_length_b 10.0808
_cell_length_c 13.6753
_cell_angle_alpha 90.00
_cell_angle_beta 115.42
_cell_angle_gamma 90.00
_space_group_name_H-M_alt 'C 1 2/m 1'
_space_group_IT_number 12
loop_
_space_group_symop_operation_xyz
'x,y,z'
'-x,-y,-z'
'-x,y,-z'
'x,-y,z'
'x+1/2,y+1/2,z'
'-x+1/2,-y+1/2,-z'
'-x+1/2,y+1/2,-z'
'x+1/2,-y+1/2,z'
loop_
_atom_site_label
_atom_site_type_symbol
_atom_site_fract_x
_atom_site_fract_y
_atom_site_fract_z
Cs1 Cs 0.0231 0.2087 0.3613
Cs2 Cs 0.1853 0.0000 0.6383
Cs3 Cs 0.2235 0.5000 0.6697
K1 K 0.0000 0.0000 0.0000
K2 K 0.2500 0.2500 0.0000
Au1 Au 0.0000 0.5000 0.5000
Au2 Au 0.2500 0.2500 0.5000
O1 O 0.0000 0.0000 0.5000
```



[4]
An optimized crystal structure of CaNdGe2Pt5. Source: the Alexandria database, functional PBE.

* formation energy from the elements: -850 meV per atom
* V: 18.8 Å³/atom

CIF file:
```
data_CaNdGe2Pt5
_cell_length_a 4.2711
_cell_length_b 4.2711
_cell_length_c 9.2833
_cell_angle_alpha 90.00
_cell_angle_beta 90.00
_cell_angle_gamma 90.00
_space_group_name_H-M_alt 'P 4/m m m'
_space_group_IT_number 123
_space_group_name_Hall '-P 4 2'
loop_
_atom_site_label
_atom_site_type_symbol
_atom_site_fract_x
_atom_site_fract_y
_atom_site_fract_z
Ca1 Ca 0.0000 0.0000 0.0000
Nd1 Nd 0.0000 0.0000 0.5000
Ge1 Ge 0.5000 0.5000 0.1345
Pt1 Pt 0.0000 0.5000 0.2711
Pt2 Pt 0.5000 0.5000 0.5000
```



[5]
An optimized crystal structure of YBi2Mo. Source: the Alexandria database, functional PBE.

* formation energy from the elements: 60 meV per atom
* V: 23.8 Å³/atom
* offset from the most stable computed form: 0 kJ/mol of formula units

CIF file:
```
data_YBi2Mo
_cell_length_a 7.2454
_cell_length_b 7.2454
_cell_length_c 7.2454
_cell_angle_alpha 90.00
_cell_angle_beta 90.00
_cell_angle_gamma 90.00
_space_group_name_H-M_alt 'F m -3 m'
_space_group_IT_number 225
_space_group_name_Hall '-F 4 2 3'
loop_
_atom_site_label
_atom_site_type_symbol
_atom_site_fract_x
_atom_site_fract_y
_atom_site_fract_z
Y1 Y 0.0000 0.0000 0.0000
Bi1 Bi 0.2500 0.2500 0.2500
Mo1 Mo 0.0000 0.0000 0.5000
```



[6]
An optimized crystal structure of LiIn2HgH. Source: the Alexandria database, functional PBE.

* E_tot: -0.16229 Ry/atom
* V: 19.3 Å³/atom

CIF file:
```
data_LiIn2HgH
_cell_length_a 4.8400
_cell_length_b 4.8400
_cell_length_c 4.1229
_cell_angle_alpha 90.00
_cell_angle_beta 90.00
_cell_angle_gamma 90.00
_space_group_name_H-M_alt 'P 4/m m m'
_space_group_IT_number 123
_space_group_name_Hall '-P 4 2'
loop_
_atom_site_label
_atom_site_type_symbol
_atom_site_fract_x
_atom_site_fract_y
_atom_site_fract_z
Li1 Li 0.0000 0.0000 0.0000
In1 In 0.0000 0.5000 0.5000
Hg1 Hg 0.5000 0.5000 0.0000
H1 H 0.0000 0.0000 0.5000
```